{
  "formula": "ErAlPd",
  "functional": "SCAN",
  "state": "single point on PBEsol structure",
  "n_ef_per_ev_cell": 4.9,
  "space_group": "Pnma, No. 62",
  "delta_e_f_ev_per_fu": -3.1,
  "cell": [[-2.3444, 3.6386, -0.4869], [-5.3773, -3.1016, 2.7129], [2.1740, 2.3347, 6.9783]],
  "species": ["Al", "Al", "Al", "Al", "Pd", "Pd", "Pd", "Pd", "Er", "Er", "Er", "Er"],
  "fractional_positions": [[0.7500, 0.8564, 0.9377], [0.7500, 0.3564, 0.5623], [0.2500, 0.1436, 0.0623], [0.2500, 0.6436, 0.4377], [0.7500, 0.7314, 0.6183], [0.7500, 0.2314, 0.8817], [0.2500, 0.2686, 0.3817], [0.2500, 0.7686, 0.1183], [0.7500, 0.9680, 0.3203], [0.7500, 0.4680, 0.1797], [0.2500, 0.0320, 0.6797], [0.2500, 0.5320, 0.8203]]
}



{
  "formula": "V2BP3O12",
  "functional": "SCAN",
  "state": "single point on PBEsol structure",
  "space_group": "P6_3/m, No. 176",
  "formation_energy_uncorrected_mev_per_atom": -2569,
  "cell": [[7.4104, 0.0000, 0.0000], [0.0000, 13.9559, 0.0000], [0.0000, -6.9779, 12.0862]],
  "species": ["V", "V", "V", "V", "V", "V", "V", "V", "V", "V", "V", "V", "B", "B", "B", "B", "B", "B", "P", "P", "P", "P", "P", "P", "P", "P", "P", "P", "P", "P", "P", "P", "P", "P", "P", "P", "O", "O", "O", "O", "O", "O", "O", "O", "O", "O", "O", "O", "O", "O", "O", "O", "O", "O", "O", "O", "O", "O", "O", "O", "O", "O", "O", "O", "O", "O", "O", "O", "O", "O", "O", "O", "O", "O", "O", "O", "O", "O", "O", "O", "O", "O", "O", "O", "O", "O", "O", "O", "O", "O", "O", "O", "O", "O", "O", "O", "O", "O", "O", "O", "O", "O", "O", "O", "O", "O", "O", "O"],
  "fractional_positions": [[0.9365, 0.3443, 0.0262], [0.4365, 0.0262, 0.6819], [0.5635, 0.3443, 0.0262], [0.4365, 0.6557, 0.9738], [0.9365, 0.9738, 0.3181], [0.5635, 0.9738, 0.3181], [0.5635, 0.6819, 0.6557], [0.0635, 0.6557, 0.9738], [0.0635, 0.3181, 0.3443], [0.4365, 0.3181, 0.3443], [0.9365, 0.6819, 0.6557], [0.0635, 0.0262, 0.6819], [0.2500, 0.3333, 0.6667], [0.2500, 0.6667, 0.3333], [0.7500, 0.3333, 0.6667], [0.7500, 0.6667, 0.3333], [0.2500, 0.0000, 0.0000], [0.7500, 0.0000, 0.0000], [0.2500, 0.4867, 0.5911], [0.7500, 0.5563, 0.7808], [0.7500, 0.2192, 0.7754], [0.7500, 0.2246, 0.4437], [0.7500, 0.2222, 0.1506], [0.2500, 0.1506, 0.9284], [0.7500, 0.8494, 0.0716], [0.2500, 0.7778, 0.8494], [0.7500, 0.5911, 0.1044], [0.2500, 0.1044, 0.5133], [0.2500, 0.4089, 0.8956], [0.2500, 0.7754, 0.5563], [0.7500, 0.8956, 0.4867], [0.2500, 0.7808, 0.2246], [0.2500, 0.4437, 0.2192], [0.7500, 0.5133, 0.4089], [0.7500, 0.9284, 0.7778], [0.2500, 0.0716, 0.2222], [0.7500, 0.4350, 0.6737], [0.5774, 0.2769, 0.4339], [0.2500, 0.6737, 0.2387], [0.7500, 0.7648, 0.4307], [0.0774, 0.7231, 0.5661], [0.7500, 0.0976, 0.3631], [0.5767, 0.9333, 0.5521], [0.2500, 0.1974, 0.3091], [0.7500, 0.1101, 0.0349], [0.7500, 0.6369, 0.7345], [0.4233, 0.3812, 0.9333], [0.0773, 0.7725, 0.7889], [0.2500, 0.3342, 0.7648], [0.7500, 0.9651, 0.0752], [0.7500, 0.6658, 0.2352], [0.9233, 0.9333, 0.5521], [0.7500, 0.6045, 0.5328], [0.2500, 0.8899, 0.9651], [0.4227, 0.0164, 0.2275], [0.4226, 0.8430, 0.2769], [0.0773, 0.2111, 0.9836], [0.0767, 0.5521, 0.6188], [0.0767, 0.3812, 0.9333], [0.7500, 0.9248, 0.8899], [0.7500, 0.2655, 0.9024], [0.2500, 0.2352, 0.5693], [0.9227, 0.2275, 0.2111], [0.4233, 0.0667, 0.4479], [0.4226, 0.7231, 0.5661], [0.2500, 0.0349, 0.9248], [0.2500, 0.7345, 0.0976], [0.4226, 0.4339, 0.1570], [0.2500, 0.1117, 0.8026], [0.2500, 0.5650, 0.3263], [0.7500, 0.9283, 0.3955], [0.7500, 0.4672, 0.0717], [0.2500, 0.7613, 0.4350], [0.2500, 0.3631, 0.2655], [0.9226, 0.1570, 0.7231], [0.9226, 0.5661, 0.8430], [0.5773, 0.9836, 0.7725], [0.5767, 0.4479, 0.3812], [0.5767, 0.6188, 0.0667], [0.4233, 0.5521, 0.6188], [0.9227, 0.9836, 0.7725], [0.4227, 0.2111, 0.9836], [0.9227, 0.7889, 0.0164], [0.0767, 0.0667, 0.4479], [0.2500, 0.6909, 0.8883], [0.7500, 0.8883, 0.1974], [0.7500, 0.3091, 0.1117], [0.9226, 0.2769, 0.4339], [0.2500, 0.5328, 0.9283], [0.5773, 0.7889, 0.0164], [0.0773, 0.0164, 0.2275], [0.7500, 0.8026, 0.6909], [0.0774, 0.8430, 0.2769], [0.2500, 0.4307, 0.6658], [0.2500, 0.3955, 0.4672], [0.9233, 0.6188, 0.0667], [0.9233, 0.4479, 0.3812], [0.5774, 0.5661, 0.8430], [0.5774, 0.1570, 0.7231], [0.2500, 0.0717, 0.6045], [0.7500, 0.3263, 0.7613], [0.2500, 0.0752, 0.1101], [0.4227, 0.7725, 0.7889], [0.2500, 0.9024, 0.6369], [0.0774, 0.4339, 0.1570], [0.7500, 0.2387, 0.5650], [0.7500, 0.5693, 0.3342], [0.5773, 0.2275, 0.2111]]
}



{
  "formula": "ZrCrCl2",
  "functional": "SCAN",
  "state": "single point on PBEsol structure",
  "n_ef_per_ev_cell": 1.2,
  "space_group": "P4mm, No. 99",
  "formation_energy_uncorrected_mev_per_atom": -894,
  "cell": [[-1.2483, -0.2153, 3.0129], [2.4681, -1.9521, 0.8831], [3.9028, 5.8552, 2.0354]],
  "species": ["Cr", "Zr", "Cl", "Cl"],
  "fractional_positions": [[0.0000, 0.0000, 0.4933], [0.5000, 0.5000, 0.7247], [0.0000, 0.0000, 0.9437], [0.5000, 0.5000, 0.3383]]
}



{
  "formula": "Pr2Tl",
  "functional": "SCAN",
  "state": "single point on PBEsol structure",
  "n_ef_per_ev_cell": 6.3,
  "space_group": "P6_3/mmc, No. 194",
  "delta_e_f_ev_per_fu": -1.4,
  "cell": [[-4.4712, -1.3379, 2.9360], [2.5749, -3.8391, -3.0056], [3.9757, -1.5284, 5.3582]],
  "species": ["Pr", "Pr", "Pr", "Pr", "Tl", "Tl"],
  "fractional_positions": [[0.0000, 0.0000, 0.5000], [0.6667, 0.3333, 0.2500], [0.3333, 0.6667, 0.7500], [0.0000, 0.0000, 0.0000], [0.3333, 0.6667, 0.2500], [0.6667, 0.3333, 0.7500]]
}



{
  "formula": "Li2TcAg",
  "functional": "SCAN",
  "state": "single point on PBEsol structure",
  "n_ef_per_ev_cell": 2.0,
  "space_group": "Fm-3m, No. 225",
  "relative_energy_ev_per_atom": 0.193,
  "delta_e_f_ev_per_fu": 1.9,
  "cell": [[-0.8861, 2.7307, 3.1634], [-0.6682, -1.4609, 3.9583], [2.8874, 0.7308, 3.0623]],
  "species": ["Ag", "Li", "Li", "Tc"],
  "fractional_positions": [[0.0000, 0.0000, 0.0000], [0.7500, 0.7500, 0.7500], [0.2500, 0.2500, 0.2500], [0.5000, 0.5000, 0.5000]]
}



{
  "formula": "TlFeIr2",
  "functional": "SCAN",
  "state": "single point on PBEsol structure",
  "n_ef_per_ev_cell": 2.7,
  "space_group": "P4/mmm, No. 123",
  "relative_energy_ev_per_atom": 0.000,
  "delta_e_f_ev_per_fu": 1.1,
  "cell": [[-1.5575, 1.4590, 1.9282], [-2.4165, -1.0184, -1.1813], [0.2131, -5.7673, 4.5359]],
  "species": ["Fe", "Ir", "Ir", "Tl"],
  "fractional_positions": [[0.5000, 0.5000, 0.5000], [0.0000, 0.0000, 0.7105], [0.0000, 0.0000, 0.2895], [0.5000, 0.5000, 0.0000]]
}